Below is a geometry-optimized PmBe3P3 structure, with properties calculated at the PBE-GGA level.

Structure (extended XYZ):
```
14
Lattice="8.7391 0.0000 0.0000 0.0000 3.7464 0.0000 -4.3687 0.0000 7.5724" Properties=species:S:1:pos:R:3 pbc="T T T"
Pm 0.0019 0.9366 2.5237
Pm 4.3685 2.8098 5.0487
Be -3.2679 0.9366 7.1687
Be -1.2867 2.8098 4.5342
Be 2.3897 2.8098 2.6272
Be 1.9807 0.9366 4.9452
Be 5.6571 0.9366 3.0382
Be 7.6383 2.8098 0.4037
P -2.1556 0.9366 5.2377
P 1.2718 2.8098 0.7000
P 0.9429 2.8098 4.5355
P 3.4275 0.9366 3.0368
P 3.0986 0.9366 6.8724
P 6.5260 2.8098 2.3347
```

Uncorrected energy ... -72.54 eV for the cell shown
SG ... P2_1/m
V ... 248 Å³/cell
Total magnetic moment ... 0.00 μB/cell
N(E_F) ... 0.00 states/eV/atom